[1]
# InFeAs2 | Alexandria | GGA-PBEsol | relaxed
data_InFeAs2
_chemical_formula_sum 'In2 Fe2 As4'
_cell_length_a 2.8691
_cell_length_b 4.4872
_cell_length_c 10.8721
_cell_angle_alpha 90.00
_cell_angle_beta 90.00
_cell_angle_gamma 90.00
_symmetry_space_group_name_H-M 'I m m m'
_symmetry_Int_Tables_number 71
_symmetry_space_group_name_Hall '-I 2 2'
loop_
_atom_site_label
_atom_site_type_symbol
_atom_site_fract_x
_atom_site_fract_y
_atom_site_fract_z
In1 In 0.0000 0.0000 0.0000
Fe1 Fe 0.0000 0.0000 0.5000
As1 As 0.0000 0.5000 0.1774
# Crystal system: orthorhombic
# Raw total energy (eV/atom): -5.48

[2]
# MoIr2Ru | Alexandria | GGA-PBEsol | relaxed
data_MoIr2Ru
_chemical_formula_sum 'Mo2 Ir4 Ru2'
_cell_length_a 3.8479
_cell_length_b 3.8479
_cell_length_c 7.6171
_cell_angle_alpha 90.00
_cell_angle_beta 90.00
_cell_angle_gamma 90.00
_symmetry_space_group_name_H-M 'I -4 m 2'
_symmetry_Int_Tables_number 119
_symmetry_space_group_name_Hall 'I -4 -2'
loop_
_atom_site_label
_atom_site_type_symbol
_atom_site_fract_x
_atom_site_fract_y
_atom_site_fract_z
Mo1 Mo 0.0000 0.0000 0.0000
Ir1 Ir 0.0000 0.0000 0.5000
Ir2 Ir 0.0000 0.5000 0.2500
Ru1 Ru 0.0000 0.5000 0.7500
# Crystal system: tetragonal
# Excess energy over the best structure of this formula in the dataset (eV per atom): 0.082

Number 1: total magnetic moment 0.00 μB/f.u.. Number 2: total magnetic moment 0.00 μB/f.u..